The following is a PBE calculation of Sc2CdTc2 after structural relaxation, from the Alexandria database.

Properties
For the relative energy among the computed polymorphs, the calculation gives 128.5 meV per atom. For the formation enthalpy at 0 K, the calculation gives 0.10 eV per atom. Its calculated total energy is -33.80 eV/cell.

Geometry as extended XYZ:
```
5
Lattice="3.564 0.000 0.000 0.000 3.564 0.000 1.782 1.782 8.116" Properties=species:S:1:pos:R:3 pbc="T T T"
Sc 1.782 1.782 1.795
Sc 3.564 3.564 6.320
Tc 3.564 1.782 4.058
Tc 1.782 3.564 4.058
Cd 0.000 0.000 0.000
```